{"formula": "As2PtI8", "functional": "PBE", "state": "relaxed", "e_form_raw_ev_per_atom": -0.0848, "volume_a3_per_atom": 49.53, "final_energy_ev_per_cell": -28.674, "lattice": [[6.476, -4.625, 0.000], [6.476, 4.625, 0.000], [-1.627, 0.000, 9.096]], "species": ["As", "As", "Pt", "I", "I", "I", "I", "I", "I", "I", "I"], "fractional_positions": [[0.141, 0.141, 0.384], [0.859, 0.859, 0.616], [0.000, 0.000, 0.000], [0.080, 0.676, 0.859], [0.115, 0.115, 0.674], [0.324, 0.920, 0.141], [0.346, 0.346, 0.451], [0.654, 0.654, 0.549], [0.676, 0.080, 0.859], [0.885, 0.885, 0.326], [0.920, 0.324, 0.141]]}

---

{"formula": "KNa6Tl12", "functional": "PBE", "state": "relaxed", "volume_a3_per_atom": 32.62, "n_ef_per_ev_cell": 9.04, "final_energy_ev_per_cell": -37.680, "delta_e_f_ev_per_atom": -0.0144, "lattice": [[6.946, 4.010, 3.708], [-6.946, 4.010, 3.708], [0.000, -8.021, 3.708]], "species": ["K", "Na", "Na", "Na", "Na", "Na", "Na", "Tl", "Tl", "Tl", "Tl", "Tl", "Tl", "Tl", "Tl", "Tl", "Tl", "Tl", "Tl"], "fractional_positions": [[0.000, 0.000, 0.000], [0.287, 0.287, 0.698], [0.287, 0.698, 0.287], [0.302, 0.713, 0.713], [0.698, 0.287, 0.287], [0.713, 0.302, 0.713], [0.713, 0.713, 0.302], [0.112, 0.500, 0.888], [0.112, 0.888, 0.500], [0.117, 0.381, 0.381], [0.381, 0.117, 0.381], [0.381, 0.381, 0.117], [0.500, 0.112, 0.888], [0.500, 0.888, 0.112], [0.619, 0.619, 0.883], [0.619, 0.883, 0.619], [0.883, 0.619, 0.619], [0.888, 0.112, 0.500], [0.888, 0.500, 0.112]]}

---

{"formula": "Tl4Cl2O", "functional": "PBE", "state": "relaxed", "e_form_raw_ev_per_atom": -0.8124, "volume_a3_per_atom": 32.26, "n_ef_per_ev_cell": 0.00, "final_energy_ev_per_cell": -47.607, "lattice": [[7.747, 0.000, 0.000], [0.000, 7.110, 0.000], [-2.481, 0.000, 8.199]], "species": ["Tl", "Tl", "Tl", "Tl", "Tl", "Tl", "Tl", "Tl", "Cl", "Cl", "Cl", "Cl", "O", "O"], "fractional_positions": [[0.012, 0.001, 0.235], [0.012, 0.499, 0.235], [0.359, 0.250, 0.623], [0.391, 0.250, 0.094], [0.609, 0.750, 0.906], [0.641, 0.750, 0.377], [0.988, 0.501, 0.765], [0.988, 0.999, 0.765], [0.178, 0.750, 0.548], [0.303, 0.750, 0.074], [0.697, 0.250, 0.926], [0.822, 0.250, 0.452], [0.199, 0.250, 0.820], [0.801, 0.750, 0.180]]}

---

{"formula": "TeMo2W", "functional": "PBE", "state": "relaxed", "e_form_raw_ev_per_atom": 0.3190, "volume_a3_per_atom": 17.38, "n_ef_per_ev_cell": 3.68, "final_energy_ev_per_cell": -36.481, "lattice": [[3.225, 0.000, 0.000], [0.000, 3.225, 0.000], [0.000, 0.000, 6.685]], "species": ["Te", "Mo", "Mo", "W"], "fractional_positions": [[0.000, 0.000, 0.000], [0.500, 0.500, 0.267], [0.500, 0.500, 0.733], [0.000, 0.000, 0.500]]}

---

{"formula": "Na2HgPtN", "functional": "PBE", "state": "relaxed", "e_form_raw_ev_per_atom": -0.0371, "volume_a3_per_atom": 24.19, "n_ef_per_ev_cell": 1.63, "final_energy_ev_per_cell": -17.492, "lattice": [[5.691, 0.000, 0.000], [0.000, 5.691, 0.000], [0.000, 0.000, 3.735]], "species": ["Na", "Na", "Hg", "Pt", "N"], "fractional_positions": [[0.000, 0.500, 0.000], [0.500, 0.000, 0.000], [0.000, 0.000, 0.500], [0.500, 0.500, 0.000], [0.500, 0.500, 0.500]]}

---

{"formula": "NaTl9In4", "functional": "PBE", "state": "relaxed", "volume_a3_per_atom": 30.46, "n_ef_per_ev_cell": 9.06, "final_energy_ev_per_cell": -67.050, "delta_e_f_ev_per_atom": 0.0031, "lattice": [[10.044, 0.000, 0.000], [-5.022, 8.698, 0.000], [0.000, 0.000, 9.763]], "species": ["Na", "Na", "Tl", "Tl", "Tl", "Tl", "Tl", "Tl", "Tl", "Tl", "Tl", "Tl", "Tl", "Tl", "Tl", "Tl", "Tl", "Tl", "Tl", "Tl", "In", "In", "In", "In", "In", "In", "In", "In"], "fractional_positions": [[0.333, 0.667, 0.250], [0.667, 0.333, 0.750], [0.071, 0.535, 0.750], [0.198, 0.396, 0.044], [0.198, 0.396, 0.456], [0.198, 0.802, 0.044], [0.198, 0.802, 0.456], [0.396, 0.198, 0.544], [0.396, 0.198, 0.956], [0.465, 0.535, 0.750], [0.465, 0.929, 0.750], [0.535, 0.071, 0.250], [0.535, 0.465, 0.250], [0.604, 0.802, 0.044], [0.604, 0.802, 0.456], [0.802, 0.198, 0.544], [0.802, 0.198, 0.956], [0.802, 0.604, 0.544], [0.802, 0.604, 0.956], [0.929, 0.465, 0.250], [0.000, 0.000, 0.000], [0.000, 0.000, 0.500], [0.113, 0.227, 0.750], [0.113, 0.887, 0.750], [0.227, 0.113, 0.250], [0.773, 0.887, 0.750], [0.887, 0.113, 0.250], [0.887, 0.773, 0.250]]}

---

{"formula": "La2SmEr2Tm2", "functional": "PBE", "state": "relaxed", "volume_a3_per_atom": 32.86, "n_ef_per_ev_cell": 10.35, "final_energy_ev_per_cell": -32.311, "delta_e_f_ev_per_atom": 0.0474, "lattice": [[8.428, -1.773, 0.000], [8.428, 1.773, 0.000], [-4.099, 0.000, 7.699]], "species": ["La", "La", "Sm", "Er", "Er", "Tm", "Tm"], "fractional_positions": [[0.206, 0.206, 0.284], [0.794, 0.794, 0.716], [0.500, 0.500, 0.000], [0.131, 0.131, 0.823], [0.869, 0.869, 0.177], [0.429, 0.429, 0.569], [0.571, 0.571, 0.431]]}

---

{"formula": "Ba12Sr7Ca", "functional": "PBE", "state": "relaxed", "volume_a3_per_atom": 80.31, "n_ef_per_ev_cell": 44.17, "final_energy_ev_per_cell": -27.258, "delta_e_f_ev_per_atom": 0.4795, "lattice": [[-7.378, 7.378, 7.378], [7.378, -7.378, 7.378], [7.378, 7.378, -7.378]], "species": ["Ba", "Ba", "Ba", "Ba", "Ba", "Ba", "Ba", "Ba", "Ba", "Ba", "Ba", "Ba", "Sr", "Sr", "Sr", "Sr", "Sr", "Sr", "Sr", "Ca"], "fractional_positions": [[0.102, 0.755, 0.347], [0.245, 0.347, 0.592], [0.245, 0.653, 0.898], [0.347, 0.102, 0.755], [0.347, 0.592, 0.245], [0.408, 0.755, 0.653], [0.592, 0.245, 0.347], [0.653, 0.408, 0.755], [0.653, 0.898, 0.245], [0.755, 0.347, 0.102], [0.755, 0.653, 0.408], [0.898, 0.245, 0.653], [0.000, 0.000, 0.500], [0.000, 0.500, 0.000], [0.000, 0.500, 0.500], [0.500, 0.000, 0.000], [0.500, 0.000, 0.500], [0.500, 0.500, 0.000], [0.500, 0.500, 0.500], [0.000, 0.000, 0.000]]}

---

{"formula": "CsTi2Mo2", "functional": "PBE", "state": "relaxed", "volume_a3_per_atom": 22.51, "n_ef_per_ev_cell": 6.78, "final_energy_ev_per_cell": -32.219, "delta_e_f_ev_per_atom": 1.2174, "lattice": [[-2.294, 2.294, 5.348], [2.294, -2.294, 5.348], [2.294, 2.294, -5.348]], "species": ["Cs", "Ti", "Ti", "Mo", "Mo"], "fractional_positions": [[0.000, 0.000, 0.000], [0.250, 0.750, 0.500], [0.750, 0.250, 0.500], [0.374, 0.374, 0.000], [0.626, 0.626, 0.000]]}

---

{"formula": "CaCeOsO6", "functional": "PBE", "state": "relaxed", "e_form_raw_ev_per_atom": -2.2182, "volume_a3_per_atom": 14.48, "n_ef_per_ev_cell": 11.25, "final_energy_ev_per_cell": -137.756, "lattice": [[5.592, 0.000, 0.000], [-2.796, 4.842, 0.000], [0.000, 0.000, 9.628]], "species": ["Ca", "Ca", "Ce", "Ce", "Os", "Os", "O", "O", "O", "O", "O", "O", "O", "O", "O", "O", "O", "O"], "fractional_positions": [[0.000, 0.000, 0.000], [0.000, 0.000, 0.500], [0.333, 0.667, 0.250], [0.667, 0.333, 0.750], [0.333, 0.667, 0.750], [0.667, 0.333, 0.250], [0.043, 0.379, 0.639], [0.043, 0.664, 0.861], [0.336, 0.379, 0.861], [0.336, 0.957, 0.639], [0.379, 0.043, 0.139], [0.379, 0.336, 0.361], [0.621, 0.664, 0.639], [0.621, 0.957, 0.861], [0.664, 0.043, 0.361], [0.664, 0.621, 0.139], [0.957, 0.336, 0.139], [0.957, 0.621, 0.361]]}

---

{"formula": "Rb2NpBeO6", "functional": "PBE", "state": "relaxed", "e_form_raw_ev_per_atom": -1.9902, "volume_a3_per_atom": 17.36, "n_ef_per_ev_cell": 3.79, "final_energy_ev_per_cell": -68.253, "lattice": [[6.253, 0.000, 0.000], [-3.127, 5.416, 0.000], [0.000, 0.000, 5.125]], "species": ["Rb", "Rb", "Np", "Be", "O", "O", "O", "O", "O", "O"], "fractional_positions": [[0.333, 0.667, 0.329], [0.667, 0.333, 0.671], [0.000, 0.000, 0.000], [0.000, 0.000, 0.500], [0.134, 0.267, 0.735], [0.134, 0.866, 0.735], [0.267, 0.134, 0.265], [0.733, 0.866, 0.735], [0.866, 0.134, 0.265], [0.866, 0.733, 0.265]]}

---

{"formula": "LiRePCl2", "functional": "PBE", "state": "relaxed", "e_form_raw_ev_per_atom": -0.0377, "volume_a3_per_atom": 23.14, "n_ef_per_ev_cell": 2.61, "final_energy_ev_per_cell": -23.654, "lattice": [[5.039, 0.000, 0.000], [0.000, 5.039, 0.000], [0.000, 0.000, 4.557]], "species": ["Li", "Re", "P", "Cl", "Cl"], "fractional_positions": [[0.000, 0.000, 0.000], [0.500, 0.500, 0.500], [0.500, 0.500, 0.000], [0.000, 0.500, 0.500], [0.500, 0.000, 0.500]]}